No. 1
Ta2Nb8Re after structural relaxation. Source: Alexandria via LeMat-Bulk, functional PBE.

Output
As for the size of the total moment: 0.0 μB per cell. The total energy is -10.280 eV/atom. For the energy of formation from the pure elements, the calculation gives 0.330 eV per atom. The density of states at the Fermi level comes out at 23.16 states/eV/cell.

Cell and atoms, written as CIF:
```
data_Ta2Nb8Re
_chemical_formula_sum 'Ta4 Nb16 Re2'
_space_group_name_H-M_alt 'C 1 2/m 1'
_space_group_IT_number 12
_space_group_name_Hall '-C 2y'
_cell_length_a 13.1241
_cell_length_b 5.4679
_cell_length_c 6.0233
_cell_angle_alpha 90.00
_cell_angle_beta 106.36
_cell_angle_gamma 90.00
loop_
_atom_site_label
_atom_site_fract_x
_atom_site_fract_y
_atom_site_fract_z
Ta1 0.2414 0.0000 0.3010
Nb1 0.0734 0.2565 0.3797
Nb2 0.1077 0.5000 0.9442
Nb3 0.1743 0.0000 0.8165
Re1 0.0000 0.0000 0.0000
```

No. 2
CaTaRu2 after structural relaxation. Source: Alexandria via LeMat-Bulk, functional PBE.

Output
As for the size of the total moment: 0.0 μB per cell. The total energy is -7.760 eV/atom. For the energy of formation from the pure elements, the calculation gives 0.342 eV per atom. The density of states at the Fermi level comes out at 6.57 states/eV/cell.

Cell and atoms, written as CIF:
```
data_CaTaRu2
_chemical_formula_sum 'Ca2 Ta2 Ru4'
_space_group_name_H-M_alt 'C m m 2'
_space_group_IT_number 35
_space_group_name_Hall 'C 2 -2'
_cell_length_a 4.0477
_cell_length_b 4.0554
_cell_length_c 8.9079
_cell_angle_alpha 90.00
_cell_angle_beta 90.00
_cell_angle_gamma 90.00
loop_
_atom_site_label
_atom_site_fract_x
_atom_site_fract_y
_atom_site_fract_z
Ca1 0.0000 0.0000 0.0000
Ta1 0.0000 0.5000 0.3270
Ru1 0.0000 0.0000 0.5544
Ru2 0.0000 0.5000 0.7384
```

No. 3
Ca2YP after structural relaxation. Source: Alexandria via LeMat-Bulk, functional PBE.

Output
As for the size of the total moment: 0.0 μB per cell. The total energy is -4.526 eV/atom. For the energy of formation from the pure elements, the calculation gives -0.557 eV per atom. The density of states at the Fermi level comes out at 6.46 states/eV/cell.

Cell and atoms, written as CIF:
```
data_Ca2YP
_chemical_formula_sum 'Ca4 Y2 P2'
_space_group_name_H-M_alt 'C m m 2'
_space_group_IT_number 35
_space_group_name_Hall 'C 2 -2'
_cell_length_a 5.0985
_cell_length_b 5.1112
_cell_length_c 9.3735
_cell_angle_alpha 90.00
_cell_angle_beta 90.00
_cell_angle_gamma 90.00
loop_
_atom_site_label
_atom_site_fract_x
_atom_site_fract_y
_atom_site_fract_z
Ca1 0.0000 0.0000 0.0000
Ca2 0.0000 0.5000 0.3408
Y1 0.0000 0.0000 0.6627
P1 0.0000 0.5000 0.8046
```

No. 4
PmHf2Fe9 after structural relaxation. Source: Alexandria via LeMat-Bulk, functional PBE.

Output
As for the size of the total moment: 49.5 μB per cell. The total energy is -8.584 eV/atom. For the energy of formation from the pure elements, the calculation gives -0.182 eV per atom. The density of states at the Fermi level comes out at 27.03 states/eV/cell.

Cell and atoms, written as CIF:
```
data_PmHf2Fe9
_chemical_formula_sum 'Pm3 Hf6 Fe27'
_space_group_name_H-M_alt 'R -3 m'
_space_group_IT_number 166
_space_group_name_Hall '-R 3 2"'
_cell_length_a 5.0020
_cell_length_b 5.0020
_cell_length_c 23.8792
_cell_angle_alpha 90.00
_cell_angle_beta 90.00
_cell_angle_gamma 120.00
loop_
_atom_site_label
_atom_site_fract_x
_atom_site_fract_y
_atom_site_fract_z
Pm1 0.0000 0.0000 0.0000
Hf1 0.0000 0.0000 0.1432
Fe1 0.0000 0.0000 0.3329
Fe2 0.0000 0.0000 0.5000
Fe3 0.0030 0.5015 0.9143
```

What did the second record say?
CaTaRu2 after structural relaxation. Source: Alexandria via LeMat-Bulk, functional PBE.

Output
As for the size of the total moment: 0.0 μB per cell. The total energy is -7.760 eV/atom. For the energy of formation from the pure elements, the calculation gives 0.342 eV per atom. The density of states at the Fermi level comes out at 6.57 states/eV/cell.

Cell and atoms, written as CIF:
```
data_CaTaRu2
_chemical_formula_sum 'Ca2 Ta2 Ru4'
_space_group_name_H-M_alt 'C m m 2'
_space_group_IT_number 35
_space_group_name_Hall 'C 2 -2'
_cell_length_a 4.0477
_cell_length_b 4.0554
_cell_length_c 8.9079
_cell_angle_alpha 90.00
_cell_angle_beta 90.00
_cell_angle_gamma 90.00
loop_
_atom_site_label
_atom_site_fract_x
_atom_site_fract_y
_atom_site_fract_z
Ca1 0.0000 0.0000 0.0000
Ta1 0.0000 0.5000 0.3270
Ru1 0.0000 0.0000 0.5544
Ru2 0.0000 0.5000 0.7384
```